Computed, not measured: an optimized crystal structure of Pr2MgNi3Sn4 at the PBE-GGA level of DFT.

Lattice parameters (Å, degrees): 4.445 4.445 10.917 90.00 90.00 90.00
Fractional coordinates of all 10 atoms:
Pr (0.500, 0.000, 0.241)
Pr (0.000, 0.500, 0.759)
Mg (0.500, 0.500, 0.500)
Ni (0.000, 0.000, 0.500)
Ni (0.500, 0.000, 0.880)
Ni (0.000, 0.500, 0.120)
Sn (0.500, 0.500, 0.000)
Sn (0.000, 0.000, 0.000)
Sn (0.500, 0.000, 0.649)
Sn (0.000, 0.500, 0.351)

Output
The formation enthalpy at 0 K is -5.08 eV/f.u. The space-group type is P-4m2, No. 115. The density of states at the Fermi level comes out at 0.576 states/eV/atom. The magnetization is 0.0 μB per formula unit. The calculated total energy is -4.9591 eV per atom.